Entry 1:
Below is crystalline BaMoIr2 at its relaxed geometry, with properties calculated at the PBE-GGA level.

abc: 6.4390 6.4390 6.4390
angles: 40.54 40.54 40.54
Element x y z (fractional)
Ba 0.0000 0.0000 0.0000
Mo 0.8149 0.8149 0.8149
Ir 0.1874 0.1874 0.1874
Ir 0.4977 0.4977 0.4977

Results
The total magnetic moment comes out at 0.00 μB per atom. As for the relative energy among the computed polymorphs: 5.97 kJ/mol of atoms. The value obtained for the energy of formation from the pure elements is 0.15 eV per atom.

Entry 2:
Below is crystalline Ga3Ni at its relaxed geometry, with properties calculated at the PBE-GGA level.

abc: 4.9622 4.9622 4.9622
angles: 146.52 82.44 107.31
Element x y z (fractional)
Ga 0.0000 0.0000 0.0000
Ga 0.2077 0.3921 0.8156
Ga 0.5764 0.3921 0.1844
Ni 0.6623 0.1623 0.5000

Results
The total magnetic moment comes out at 0.00 μB per atom. The value obtained for the energy of formation from the pure elements is -0.16 eV per atom.

Entry 3:
Below is crystalline CsRb2CeI8 at its relaxed geometry, with properties calculated at the PBE-GGA level.

abc: 6.7403 8.3939 10.8416
angles: 89.95 72.51 89.96
Element x y z (fractional)
Cs 0.0000 0.0000 0.0000
Rb 0.3354 0.5026 0.3149
Rb 0.6646 0.4974 0.6851
Ce 0.0000 0.0000 0.5000
I 0.1851 0.7441 0.6295
I 0.1882 0.2568 0.6263
I 0.2474 0.5001 0.9982
I 0.3620 0.9974 0.2504
I 0.6380 0.0026 0.7496
I 0.7526 0.4999 0.0018
I 0.8118 0.7432 0.3737
I 0.8149 0.2559 0.3705

Results
The total magnetic moment comes out at 0.01 μB per atom. The value obtained for the formation energy without anion corrections is -1247 meV per atom.

Entry 4:
Below is crystalline MnNb2S5 at its relaxed geometry, with properties calculated at the PBE-GGA level.

abc: 6.4461 6.4461 11.3038
angles: 90.00 90.00 135.62
Element x y z (fractional)
Mn 0.1878 0.8122 0.7500
Mn 0.8122 0.1878 0.2500
Nb 0.1728 0.8272 0.0403
Nb 0.1728 0.8272 0.4597
Nb 0.8272 0.1728 0.5403
Nb 0.8272 0.1728 0.9597
S 0.0429 0.9571 0.6151
S 0.0429 0.9571 0.8849
S 0.2565 0.7435 0.2500
S 0.3348 0.6652 0.5917
S 0.3348 0.6652 0.9083
S 0.6652 0.3348 0.0917
S 0.6652 0.3348 0.4083
S 0.7435 0.2565 0.7500
S 0.9571 0.0429 0.1151
S 0.9571 0.0429 0.3849

Results
The total magnetic moment comes out at 0.41 μB per atom. As for the relative energy among the computed polymorphs: 0.00 kJ/mol of atoms. The value obtained for the formation energy without anion corrections is -723 meV per atom.

Entry 5:
Below is crystalline La2TeRu at its relaxed geometry, with properties calculated at the PBE-GGA level.

abc: 7.7857 7.7857 7.7857
angles: 33.82 33.82 33.82
Element x y z (fractional)
La 0.0000 0.0000 0.0000
La 0.1712 0.1712 0.1712
Te 0.4246 0.4246 0.4246
Ru 0.7389 0.7389 0.7389

Results
The total magnetic moment comes out at 0.00 μB per atom. As for the relative energy among the computed polymorphs: 25.26 kJ/mol of atoms. The value obtained for the formation energy without anion corrections is -522 meV per atom.

Entry 6:
Below is crystalline KNpSe at its relaxed geometry, with properties calculated at the PBE-GGA level.

abc: 14.2289 14.2289 14.2289
angles: 15.07 15.07 15.07
Element x y z (fractional)
K 0.1167 0.1167 0.1167
K 0.8833 0.8833 0.8833
Np 0.3488 0.3488 0.3488
Np 0.6512 0.6512 0.6512
Se 0.2715 0.2715 0.2715
Se 0.7285 0.7285 0.7285

Results
The total magnetic moment comes out at 0.00 μB per atom. The value obtained for the formation energy without anion corrections is -557 meV per atom.

Entry 7:
Below is crystalline Li2MgBi2 at its relaxed geometry, with properties calculated at the PBE-GGA level.

abc: 8.2401 8.2401 3.4357
angles: 90.00 90.00 90.00
Element x y z (fractional)
Li 0.1159 0.3841 0.0000
Li 0.3841 0.8841 0.0000
Li 0.6159 0.1159 0.0000
Li 0.8841 0.6159 0.0000
Mg 0.0000 0.0000 0.0000
Mg 0.5000 0.5000 0.0000
Bi 0.1843 0.6843 0.5000
Bi 0.3157 0.1843 0.5000
Bi 0.6843 0.8157 0.5000
Bi 0.8157 0.3157 0.5000

Results
The total magnetic moment comes out at 0.00 μB per atom. As for the relative energy among the computed polymorphs: 2.34 kJ/mol of atoms. The value obtained for the energy of formation from the pure elements is -0.27 eV per atom.

Entry 8:
Below is crystalline LiTe4Pt at its relaxed geometry, with properties calculated at the PBE-GGA level.

abc: 6.2523 6.2523 6.2523
angles: 60.00 60.00 60.00
Element x y z (fractional)
Li 0.0000 0.0000 0.0000
Te 0.3765 0.3765 0.3765
Te 0.3765 0.3765 0.8704
Te 0.3765 0.8704 0.3765
Te 0.8704 0.3765 0.3765
Pt 0.7500 0.7500 0.7500

Results
The total magnetic moment comes out at 0.00 μB per atom. The value obtained for the formation energy without anion corrections is 546 meV per atom.

Entry 9:
Below is crystalline YNbAs2Rh5 at its relaxed geometry, with properties calculated at the PBE-GGA level.

abc: 4.0087 4.0087 10.9855
angles: 90.00 90.00 90.00
Element x y z (fractional)
Y 0.0000 0.0000 0.0000
Nb 0.5000 0.5000 0.5000
As 0.5000 0.5000 0.2154
As 0.5000 0.5000 0.7846
Rh 0.0000 0.5000 0.3481
Rh 0.0000 0.5000 0.6519
Rh 0.5000 0.0000 0.3481
Rh 0.5000 0.0000 0.6519
Rh 0.5000 0.5000 0.0000

Results
The total magnetic moment comes out at 0.00 μB per atom. The value obtained for the energy of formation from the pure elements is -0.26 eV per atom.

Entry 10:
Below is crystalline Ca3AgHg at its relaxed geometry, with properties calculated at the PBE-GGA level.

abc: 9.3351 8.4781 8.3622
angles: 90.00 116.37 90.00
Element x y z (fractional)
Ca 0.0339 0.0289 0.2202
Ca 0.0339 0.4711 0.7202
Ca 0.2788 0.1154 0.6933
Ca 0.2788 0.3846 0.1933
Ca 0.3921 0.7153 0.9370
Ca 0.3921 0.7847 0.4370
Ca 0.6079 0.2153 0.5630
Ca 0.6079 0.2847 0.0630
Ca 0.7212 0.6154 0.8067
Ca 0.7212 0.8846 0.3067
Ca 0.9661 0.5289 0.2798
Ca 0.9661 0.9711 0.7798
Ag 0.1051 0.7057 0.0515
Ag 0.1051 0.7943 0.5515
Ag 0.8949 0.2057 0.4485
Ag 0.8949 0.2943 0.9485
Hg 0.3496 0.0360 0.1230
Hg 0.3496 0.4640 0.6230
Hg 0.6504 0.5360 0.3770
Hg 0.6504 0.9640 0.8770

Results
The total magnetic moment comes out at 0.00 μB per atom. As for the relative energy among the computed polymorphs: 0.00 kJ/mol of atoms. The value obtained for the energy of formation from the pure elements is -0.34 eV per atom.